(1)
Here is a relaxed Ag2PtAu5 crystal from Alexandria via LeMat-Bulk. Energies are from PBE.

Values from the calculation:
Crystal system = orthorhombic
Total moment = 0.000 μB per formula unit
Excess energy over the best structure of this formula in the dataset = 0.00 eV per formula unit
Symmetry = No. 55
N(E_F) = 6.03 states/eV/cell
Energy of formation from the pure elements = -0.16 eV/f.u.

a b c (Å): 5.783 11.531 4.219
angles (deg): 90.00 90.00 90.00
Element x y z (fractional)
Ag  0.245  0.125  0.000
Ag  0.255  0.625  0.000
Ag  0.745  0.375  0.000
Ag  0.755  0.875  0.000
Pt  0.000  0.500  0.500
Pt  0.500  0.000  0.500
Au  0.000  0.000  0.500
Au  0.007  0.748  0.500
Au  0.241  0.378  0.000
Au  0.259  0.878  0.000
Au  0.493  0.248  0.500
Au  0.500  0.500  0.500
Au  0.507  0.752  0.500
Au  0.741  0.122  0.000
Au  0.759  0.622  0.000
Au  0.993  0.252  0.500

(2)
Here is a relaxed Cs2NaAs2 crystal from Alexandria via LeMat-Bulk. Energies are from PBE.

Values from the calculation:
Crystal system = monoclinic
Total moment = 0.931 μB per formula unit
Excess energy over the best structure of this formula in the dataset = 0.00 eV per formula unit
Symmetry = No. 15
N(E_F) = 8.20 states/eV/cell
Energy of formation from the pure elements = -1.69 eV/f.u.

a b c (Å): 6.801 6.801 9.296
angles (deg): 97.95 97.95 66.40
Element x y z (fractional)
Cs  0.001  0.709  0.864
Cs  0.291  0.999  0.636
Cs  0.709  0.001  0.364
Cs  0.999  0.291  0.136
Na  0.440  0.560  0.250
Na  0.560  0.440  0.750
As  0.170  0.516  0.492
As  0.484  0.830  0.008
As  0.516  0.170  0.992
As  0.830  0.484  0.508

(3)
Here is a relaxed Ho3Zn2Hg2 crystal from Alexandria via LeMat-Bulk. Energies are from PBE.

Values from the calculation:
Crystal system = orthorhombic
Total moment = 0.001 μB per formula unit
Symmetry = No. 65
N(E_F) = 5.94 states/eV/cell
Energy of formation from the pure elements = -2.71 eV/f.u.

a b c (Å): 10.919 10.919 3.545
angles (deg): 90.00 90.00 157.45
Element x y z (fractional)
Ho  0.000  0.000  0.000
Ho  0.164  0.836  0.000
Ho  0.836  0.164  0.000
Zn  0.280  0.720  0.500
Zn  0.720  0.280  0.500
Hg  0.418  0.582  0.500
Hg  0.582  0.418  0.500

(4)
Here is a relaxed LiLu2Ag crystal from Alexandria via LeMat-Bulk. Energies are from PBE.

Values from the calculation:
Crystal system = tetragonal
Total moment = 0.000 μB per formula unit
Excess energy over the best structure of this formula in the dataset = 0.00 eV per formula unit
Symmetry = No. 123
N(E_F) = 3.01 states/eV/cell
Energy of formation from the pure elements = -0.46 eV/f.u.

a b c (Å): 5.028 5.028 3.597
angles (deg): 90.00 90.00 90.00
Element x y z (fractional)
Li  0.000  0.000  0.000
Lu  0.000  0.500  0.500
Lu  0.500  0.000  0.500
Ag  0.500  0.500  0.000

(5)
Here is a relaxed SiTePd crystal from Alexandria via LeMat-Bulk. Energies are from PBE.

Values from the calculation:
Crystal system = orthorhombic
Total moment = 0.000 μB per formula unit
Excess energy over the best structure of this formula in the dataset = 0.38 eV per formula unit
Symmetry = No. 38
N(E_F) = 1.25 states/eV/cell

a b c (Å): 4.244 4.418 4.418
angles (deg): 53.17 90.00 90.00
Element x y z (fractional)
Si  0.000  0.000  0.000
Te  0.500  0.219  0.219
Pd  0.000  0.693  0.693

(6)
Here is a relaxed MnSiRh crystal from Alexandria via LeMat-Bulk. Energies are from PBE.

Values from the calculation:
Crystal system = tetragonal
Total moment = 2.394 μB per formula unit
Symmetry = No. 107
Uncorrected energy = -0.5691 Ry per atom
N(E_F) = 1.61 states/eV/cell

a b c (Å): 5.270 5.270 5.270
angles (deg): 149.27 149.27 44.02
Element x y z (fractional)
Mn  0.000  0.000  0.000
Si  0.653  0.653  0.000
Rh  0.304  0.304  0.000